Entry 1:
A plane-wave DFT calculation with PBEsol was carried out for an optimized crystal structure of Li3CuF4.

Unit cell a=2.8090 b=2.8090 c=20.0817 alpha=90.00 beta=90.00 gamma=120.00
Space group P6_3/mmc (No. 194)
Asymmetric unit:
1 Li 0.0000 0.0000 0.0000 [2 per cell]
2 Li 0.3333 0.6667 0.1155 [4 per cell]
3 Cu 0.3333 0.6667 0.7500 [2 per cell]
4 F 0.0000 0.0000 0.1713 [4 per cell]
5 F 0.3333 0.6667 0.5576 [4 per cell]

Properties
- formation energy without anion corrections (eV/atom) = -2.421
- magnetization (μB/atom) = 0.0165
- mass density (g/cm³) = 3.9

---

Entry 2:
A plane-wave DFT calculation with PBEsol was carried out for an optimized crystal structure of La2PdCl.

Unit cell a=7.210 b=7.210 c=7.210 alpha=90.00 beta=90.00 gamma=90.00
Space group Fm-3m (No. 225)
Asymmetric unit:
1 La 0.250 0.250 0.250 [8 per cell]
2 Pd 0.000 0.000 0.000 [4 per cell]
3 Cl 0.000 0.000 0.500 [4 per cell]

Properties
- formation energy without anion corrections (eV/atom) = -0.945
- magnetization (μB/atom) = 0.0003
- mass density (g/cm³) = 7.4

---

Entry 3:
A plane-wave DFT calculation with PBEsol was carried out for an optimized crystal structure of Y3AuO.

Unit cell a=4.644 b=4.644 c=4.644 alpha=90.00 beta=90.00 gamma=90.00
Space group Pm-3m (No. 221)
Asymmetric unit:
1 Y 0.000 0.000 0.500 [3 per cell]
2 Au 0.500 0.500 0.500 [1 per cell]
3 O 0.000 0.000 0.000 [1 per cell]

Properties
- formation energy without anion corrections (eV/atom) = -1.537
- magnetization (μB/atom) = 0.0000
- mass density (g/cm³) = 8.0

---

Entry 4:
A plane-wave DFT calculation with PBEsol was carried out for an optimized crystal structure of LiV2P4H2O16.

Unit cell a=7.634 b=9.126 c=9.199 alpha=116.39 beta=102.56 gamma=101.68
Space group P-1 (No. 2)
Asymmetric unit:
1 Li 0.149 0.342 0.210 [2 per cell]
2 V 0.000 0.000 0.500 [1 per cell]
3 V 0.000 0.500 0.000 [1 per cell]
4 V 0.491 0.750 0.748 [2 per cell]
5 P 0.234 0.354 0.506 [2 per cell]
6 P 0.238 0.855 0.009 [2 per cell]
7 P 0.268 0.245 0.896 [2 per cell]
8 P 0.273 0.750 0.396 [2 per cell]
9 H 0.000 0.000 0.000 [1 per cell]
10 H 0.000 0.500 0.500 [1 per cell]
11 H 0.495 0.251 0.754 [2 per cell]
12 O 0.054 0.880 0.935 [2 per cell]
13 O 0.060 0.387 0.427 [2 per cell]
14 O 0.130 0.070 0.735 [2 per cell]
15 O 0.137 0.568 0.239 [2 per cell]
16 O 0.154 0.374 0.931 [2 per cell]
17 O 0.160 0.876 0.432 [2 per cell]
18 O 0.173 0.198 0.531 [2 per cell]
19 O 0.180 0.696 0.029 [2 per cell]
20 O 0.314 0.229 0.060 [2 per cell]
21 O 0.324 0.724 0.556 [2 per cell]
22 O 0.337 0.314 0.372 [2 per cell]
23 O 0.344 0.816 0.878 [2 per cell]
24 O 0.374 0.514 0.680 [2 per cell]
25 O 0.375 0.015 0.181 [2 per cell]
26 O 0.450 0.314 0.873 [2 per cell]
27 O 0.454 0.817 0.371 [2 per cell]

Properties
- magnetization (μB/atom) = 0.0403
- polymorph energy (0 for the lowest one) (eV per formula unit) = 0.08
- mass density (g/cm³) = 3.1

---

Entry 5:
A plane-wave DFT calculation with PBEsol was carried out for an optimized crystal structure of BaInP2.

Unit cell a=3.698 b=4.054 c=6.425 alpha=90.00 beta=90.00 gamma=90.00
Space group Pmmm (No. 47)
Asymmetric unit:
1 Ba 0.000 0.000 0.000 [1 per cell]
2 In 0.000 0.000 0.500 [1 per cell]
3 P 0.500 0.500 0.325 [2 per cell]

Properties
- magnetization (μB/atom) = 0.0000
- mass density (g/cm³) = 5.4
- energy relative to the elements (eV per atom) = -0.2825

---

Entry 6:
A plane-wave DFT calculation with PBEsol was carried out for an optimized crystal structure of Na2CoOsS.

Unit cell a=4.955 b=4.955 c=4.276 alpha=90.00 beta=90.00 gamma=90.00
Space group P4/mmm (No. 123)
Asymmetric unit:
1 Na 0.000 0.500 0.000 [2 per cell]
2 Co 0.000 0.000 0.500 [1 per cell]
3 Os 0.500 0.500 0.500 [1 per cell]
4 S 0.500 0.500 0.000 [1 per cell]

Properties
- formation energy without anion corrections (eV/atom) = 0.928
- magnetization (μB/atom) = 0.4214
- mass density (g/cm³) = 5.2

---

Entry 7:
A plane-wave DFT calculation with PBEsol was carried out for an optimized crystal structure of HfTc2PtF.

Unit cell a=4.772 b=4.772 c=3.856 alpha=90.00 beta=90.00 gamma=90.00
Space group P4/mmm (No. 123)
Asymmetric unit:
1 Hf 0.000 0.000 0.000 [1 per cell]
2 Tc 0.000 0.500 0.000 [2 per cell]
3 Pt 0.500 0.500 0.500 [1 per cell]
4 F 0.000 0.000 0.500 [1 per cell]

Properties
- formation energy without anion corrections (eV/atom) = 0.676
- magnetization (μB/atom) = 0.3476
- mass density (g/cm³) = 11.1

---

Entry 8:
A plane-wave DFT calculation with PBEsol was carried out for an optimized crystal structure of La2NiSn4.

Unit cell a=4.494 b=4.510 c=17.429 alpha=90.00 beta=90.00 gamma=90.00
Space group Amm2 (No. 38)
Asymmetric unit:
1 La 0.000 0.000 0.000 [2 per cell]
2 La 0.500 0.000 0.209 [2 per cell]
3 Ni 0.000 0.000 0.795 [2 per cell]
4 Sn 0.000 0.000 0.362 [2 per cell]
5 Sn 0.000 0.000 0.652 [2 per cell]
6 Sn 0.500 0.000 0.545 [2 per cell]
7 Sn 0.500 0.000 0.862 [2 per cell]

Properties
- magnetization (μB/atom) = 0.0001
- mass density (g/cm³) = 7.6
- energy relative to the elements (eV per atom) = -0.7068